[1]
# K4PSe3 (PBE, relaxed)
data_K4PSe3
_chemical_formula_sum 'K4 P1 Se3'
_cell_length_a 6.362
_cell_length_b 6.362
_cell_length_c 6.171
_cell_angle_alpha 90.00
_cell_angle_beta 90.00
_cell_angle_gamma 90.00
_space_group_name_H-M_alt 'P 1'
_space_group_IT_number 1
loop_
_space_group_symop_operation_xyz
'x,y,z'
loop_
_atom_site_label
_atom_site_type_symbol
_atom_site_fract_x
_atom_site_fract_y
_atom_site_fract_z
_atom_site_occupancy
Se1 Se 0.000 0.000 0.696 1
Se2 Se 0.500 0.500 0.000 1
Se3 Se 0.000 0.000 0.304 1
K1 K 0.000 0.500 0.250 1
K2 K 0.500 0.000 0.250 1
K3 K 0.500 0.000 0.750 1
K4 K 0.000 0.500 0.750 1
P1 P 0.500 0.500 0.500 1
# SG	P4/mmm, No. 123
# DOS at the Fermi energy	5.80	states/eV per cell
# ΔE_f (raw)	-0.46	eV/atom
# DFT total energy	-2.9869	eV/atom
# crystal system	tetragonal

[2]
# SrBePO2 (PBE, relaxed)
data_SrBePO2
_chemical_formula_sum 'Sr1 Be1 P1 O2'
_cell_length_a 4.194
_cell_length_b 4.194
_cell_length_c 6.653
_cell_angle_alpha 90.00
_cell_angle_beta 90.00
_cell_angle_gamma 90.00
_space_group_name_H-M_alt 'P 1'
_space_group_IT_number 1
loop_
_space_group_symop_operation_xyz
'x,y,z'
loop_
_atom_site_label
_atom_site_type_symbol
_atom_site_fract_x
_atom_site_fract_y
_atom_site_fract_z
_atom_site_occupancy
P1 P 0.000 0.000 0.500 1
Sr1 Sr 0.000 0.000 0.000 1
O1 O 0.000 0.500 0.000 1
O2 O 0.500 0.000 0.000 1
Be1 Be 0.500 0.500 0.500 1
# SG	P4/mmm, No. 123
# DOS at the Fermi energy	6.05	states/eV per cell
# ΔE_f (raw)	0.62	eV/atom
# DFT total energy	-3.5253	eV/atom
# crystal system	tetragonal

[3]
# KZr2TiP (PBE, relaxed)
data_KZr2TiP
_chemical_formula_sum 'K1 Zr2 Ti1 P1'
_cell_length_a 4.761
_cell_length_b 5.106
_cell_length_c 4.761
_cell_angle_alpha 90.00
_cell_angle_beta 90.00
_cell_angle_gamma 90.00
_space_group_name_H-M_alt 'P 1'
_space_group_IT_number 1
loop_
_space_group_symop_operation_xyz
'x,y,z'
loop_
_atom_site_label
_atom_site_type_symbol
_atom_site_fract_x
_atom_site_fract_y
_atom_site_fract_z
_atom_site_occupancy
Ti1 Ti 0.500 0.500 0.500 1
K1 K 0.000 0.000 0.000 1
Zr1 Zr 0.500 0.000 0.000 1
Zr2 Zr 0.000 0.000 0.500 1
P1 P 0.000 0.500 0.000 1
# SG	P4/mmm, No. 123
# DOS at the Fermi energy	7.96	states/eV per cell
# DFT total energy	-4.4030	eV/atom
# crystal system	tetragonal
# calculated formation energy	1.90	eV per atom

[4]
# Er8TlAg2 (PBE, relaxed)
data_Er8TlAg2
_chemical_formula_sum 'Er8 Tl1 Ag2'
_cell_length_a 5.404
_cell_length_b 8.288
_cell_length_c 8.288
_cell_angle_alpha 116.80
_cell_angle_beta 99.88
_cell_angle_gamma 99.88
_space_group_name_H-M_alt 'P 1'
_space_group_IT_number 1
loop_
_space_group_symop_operation_xyz
'x,y,z'
loop_
_atom_site_label
_atom_site_type_symbol
_atom_site_fract_x
_atom_site_fract_y
_atom_site_fract_z
_atom_site_occupancy
Ag1 Ag 0.000 0.696 0.304 1
Ag2 Ag 0.000 0.304 0.696 1
Er1 Er 0.500 0.772 0.228 1
Er2 Er 0.104 0.093 0.329 1
Er3 Er 0.104 0.329 0.093 1
Er4 Er 0.500 0.228 0.772 1
Er5 Er 0.304 0.604 0.604 1
Er6 Er 0.896 0.671 0.907 1
Er7 Er 0.896 0.907 0.671 1
Er8 Er 0.696 0.396 0.396 1
Tl1 Tl 0.500 0.000 0.000 1
# SG	C2/m, No. 12
# DOS at the Fermi energy	15.06	states/eV per cell
# DFT total energy	-4.0972	eV/atom
# crystal system	monoclinic
# calculated formation energy	-0.05	eV per atom

[5]
# BeOs2Br (PBE, relaxed)
data_BeOs2Br
_chemical_formula_sum 'Be1 Os2 Br1'
_cell_length_a 2.961
_cell_length_b 2.961
_cell_length_c 6.663
_cell_angle_alpha 90.00
_cell_angle_beta 90.00
_cell_angle_gamma 90.00
_space_group_name_H-M_alt 'P 1'
_space_group_IT_number 1
loop_
_space_group_symop_operation_xyz
'x,y,z'
loop_
_atom_site_label
_atom_site_type_symbol
_atom_site_fract_x
_atom_site_fract_y
_atom_site_fract_z
_atom_site_occupancy
Be1 Be 0.500 0.500 0.250 1
Br1 Br 0.500 0.500 0.750 1
Os1 Os 0.000 0.000 0.065 1
Os2 Os 0.000 0.000 0.435 1
# SG	P4/mmm, No. 123
# DOS at the Fermi energy	4.71	states/eV per cell
# ΔE_f (raw)	0.84	eV/atom
# DFT total energy	-6.1218	eV/atom
# crystal system	tetragonal

[6]
# Th2CrFe3B12 (PBE, relaxed)
data_Th2CrFe3B12
_chemical_formula_sum 'Th2 Cr1 Fe3 B12'
_cell_length_a 8.121
_cell_length_b 8.121
_cell_length_c 8.121
_cell_angle_alpha 39.66
_cell_angle_beta 39.66
_cell_angle_gamma 39.66
_space_group_name_H-M_alt 'P 1'
_space_group_IT_number 1
loop_
_space_group_symop_operation_xyz
'x,y,z'
loop_
_atom_site_label
_atom_site_type_symbol
_atom_site_fract_x
_atom_site_fract_y
_atom_site_fract_z
_atom_site_occupancy
B1 B 0.341 0.341 0.027 1
B2 B 0.326 0.948 0.948 1
B3 B 0.659 0.659 0.973 1
B4 B 0.674 0.052 0.052 1
B5 B 0.052 0.674 0.052 1
B6 B 0.052 0.052 0.674 1
B7 B 0.973 0.659 0.659 1
B8 B 0.948 0.948 0.326 1
B9 B 0.948 0.326 0.948 1
B10 B 0.341 0.027 0.341 1
B11 B 0.659 0.973 0.659 1
B12 B 0.027 0.341 0.341 1
Th1 Th 0.360 0.360 0.360 1
Th2 Th 0.640 0.640 0.640 1
Fe1 Fe 0.000 0.000 0.500 1
Fe2 Fe 0.500 0.000 0.000 1
Fe3 Fe 0.000 0.500 0.000 1
Cr1 Cr 0.000 0.000 0.000 1
# SG	R-3m, No. 166
# DOS at the Fermi energy	7.99	states/eV per cell
# DFT total energy	-7.1646	eV/atom
# crystal system	trigonal
# calculated formation energy	0.06	eV per atom